## BaZrCo (PBE-GGA)

Data for a geometry-optimized BaZrCo structure.

Results
Density of states at the Fermi level (states/eV per atom): 0.783
Calculated formation energy (meV per atom): 738
Total magnetic moment (Bohr magnetons per cell): 0.0
E above lowest polymorph (eV/f.u.): 2.17
Final energy (eV per atom): -5.121

abc: 6.7899 6.7899 6.7899
angles: 90.00 90.00 90.00
Closest atoms and distances in Å follow each position.
Space group F-43m (No. 216)
Symmetry-distinct sites (fractional):
Ba 0.0000 0.0000 0.0000  4 Co 2.94
Zr 0.0000 0.0000 0.5000  4 Co 2.94
Co 0.2500 0.2500 0.2500  4 Zr 2.94, 4 Ba 2.94